Record 1
CaAs2Br | Alexandria via LeMat-Bulk | PBE-GGA | relaxed; size of the total moment = 0.000 μB/f.u.; density = 3.815 g/cm³; energy above the most stable polymorph in this dataset = 0.000 kcal/mol of atoms; total energy = -4.1204 eV per atom
1.0
3.781 0.000 0.000
0.000 3.960 -0.007
0.000 0.981 7.842
As Ca Br
2 1 1
direct
0.000 0.887 0.066
0.500 0.289 0.081
0.500 0.890 0.758
0.000 0.433 0.595

=====

Record 2
AcTb3HoTm | Alexandria via LeMat-Bulk | PBE-GGA | relaxed; size of the total moment = 0.000 μB/f.u.; density = 8.042 g/cm³; total energy = -4.2846 eV per atom; formation energy = 0.223 eV/atom
1.0
5.377 0.000 0.000
-2.689 11.193 2.621
0.000 -0.606 6.979
Tb Ac Tm Ho
6 2 2 2
direct
0.819 0.639 0.284
0.775 0.549 0.808
0.181 0.361 0.716
0.479 0.957 0.284
0.225 0.451 0.192
0.521 0.043 0.716
0.373 0.747 0.983
0.627 0.253 0.017
0.333 0.665 0.523
0.667 0.335 0.477
0.075 0.151 0.390
0.925 0.849 0.610

=====

Record 3
Cr2TcRu | Alexandria via LeMat-Bulk | PBE-GGA | relaxed; size of the total moment = 0.000 μB/f.u.; density = 9.577 g/cm³; total energy = -9.5550 eV per atom; formation energy = 0.167 eV/atom
1.0
-1.526 -2.976 3.050
1.835 -4.012 -1.009
1.936 4.051 0.569
Ru Tc Cr
1 1 2
direct
0.250 0.750 0.500
0.750 0.250 0.500
0.500 0.500 0.000
0.000 0.000 0.000

=====

Record 4
CuBiPt3 | Alexandria via LeMat-Bulk | PBE-GGA | relaxed; size of the total moment = 0.000 μB/f.u.; density = 14.136 g/cm³; energy above the most stable polymorph in this dataset = 10.567 kcal/mol of atoms; total energy = -4.6518 eV per atom; formation energy = 0.568 eV/atom
1.0
4.653 0.000 0.000
0.000 4.653 0.000
0.000 0.000 4.653
Cu Pt Bi
1 3 1
direct
0.000 0.000 0.000
0.000 0.000 0.500
0.500 0.000 0.000
0.000 0.500 0.000
0.500 0.500 0.500

=====

Record 5
Cs3Li2SnCl6 | Alexandria via LeMat-Bulk | PBE-GGA | relaxed; size of the total moment = 1.007 μB/f.u.; density = 2.515 g/cm³; total energy = -3.2907 eV per atom
1.0
7.706 0.000 0.000
-3.853 6.673 0.000
0.000 0.000 9.552
Cl Li Cs Sn
6 2 3 1
direct
0.665 0.832 0.277
0.832 0.665 0.723
0.832 0.168 0.723
0.168 0.832 0.277
0.335 0.168 0.723
0.168 0.335 0.277
0.333 0.667 0.238
0.667 0.333 0.762
0.333 0.667 0.638
0.000 0.000 0.000
0.667 0.333 0.362
0.000 0.000 0.500

=====

Record 6
CsBaSc3 | Alexandria via LeMat-Bulk | PBE-GGA | relaxed; size of the total moment = 0.000 μB/f.u.; density = 3.272 g/cm³; energy above the most stable polymorph in this dataset = 2.036 kcal/mol of atoms; total energy = -3.1573 eV per atom; formation energy = 1.197 eV/atom
1.0
5.902 0.000 0.000
0.000 5.902 0.000
0.000 0.000 5.902
Cs Ba Sc
1 1 3
direct
0.500 0.500 0.500
0.000 0.000 0.000
0.000 0.000 0.500
0.000 0.500 0.000
0.500 0.000 0.000

=====

Record 7
TbNd7Tl2 | Alexandria via LeMat-Bulk | PBE-GGA | relaxed; size of the total moment = 0.001 μB/f.u.; density = 6.383 g/cm³; total energy = -3.9421 eV per atom; formation energy = 0.332 eV/atom
1.0
5.406 0.000 0.000
0.000 9.339 -0.279
0.000 -4.370 8.258
Tl Nd Tb
2 7 1
direct
0.500 0.694 0.306
0.500 0.306 0.694
0.500 0.063 0.301
0.500 0.937 0.699
0.500 0.500 0.500
0.500 0.699 0.937
0.000 0.223 0.777
0.500 0.301 0.063
0.000 0.777 0.223
0.000 0.000 0.000

=====

Record 8
IrOs3F | Alexandria via LeMat-Bulk | PBE-GGA | relaxed; size of the total moment = 4.418 μB/f.u.; density = 12.006 g/cm³; energy above the most stable polymorph in this dataset = 18.814 kcal/mol of atoms; total energy = -6.4888 eV per atom
1.0
-1.013 0.054 -4.655
-4.609 -0.682 0.995
-0.655 4.715 0.198
Ir Os F
1 3 1
direct
0.000 0.000 0.000
0.000 0.500 0.000
0.500 0.000 0.000
0.000 0.000 0.500
0.500 0.500 0.500